Si3Ir, optimized geometry, DFT PBE-GGA; density of states at the Fermi level = 0.7 states/eV/cell; E_form (uncorrected) = 0.11 eV/f.u.; M_tot = 0.000 μB/cell; SG = P4/mmm, No. 123
1.0
2.834 0.000 0.000
0.000 2.834 0.000
0.000 0.000 7.070
Si Ir
3 1
direct
0.000 0.000 0.000
0.500 0.500 0.267
0.500 0.500 0.733
0.000 0.000 0.500

Si2Ir, optimized geometry, DFT PBE-GGA; density of states at the Fermi level = 4.1 states/eV/cell; E_form (uncorrected) = -0.35 eV/f.u.; M_tot = 0.000 μB/cell; SG = Cmcm, No. 63
1.0
2.951 0.000 0.000
0.000 12.253 0.000
0.000 0.000 4.666
Si Ir
8 4
direct
0.000 0.053 0.250
0.000 0.284 0.750
0.000 0.716 0.250
0.000 0.947 0.750
0.500 0.216 0.250
0.500 0.447 0.750
0.500 0.553 0.250
0.500 0.784 0.750
0.000 0.377 0.250
0.000 0.623 0.750
0.500 0.123 0.750
0.500 0.877 0.250

Si3Ir, optimized geometry, DFT PBE-GGA; density of states at the Fermi level = 4.0 states/eV/cell; E_form (uncorrected) = 0.04 eV/f.u.; M_tot = 0.000 μB/cell; SG = Pmmn, No. 59
1.0
4.340 0.000 0.000
0.000 6.847 0.000
0.000 0.000 3.895
Si Ir
6 2
direct
0.250 0.010 0.167
0.250 0.250 0.681
0.250 0.490 0.167
0.750 0.510 0.833
0.750 0.750 0.319
0.750 0.990 0.833
0.250 0.750 0.605
0.750 0.250 0.395

- E_form (uncorrected) of number 1 (Si3Ir)?
  0.11 eV/f.u.